The following is a DFT calculation (GGA+U) of an optimized crystal structure of LiCrI2O. Values from VASP.

Summary:
V: 25.1 Å³/atom
Polymorph energy (0 for the lowest one): 0 meV/atom
Raw total energy: -4.31 eV per atom

Quantum ESPRESSO input file:
```
&SYSTEM
  ibrav = 0, nat = 5, ntyp = 4
/
ATOMIC_SPECIES
Cr 52.00 Cr.upf
I 126.90 I.upf
O 16.00 O.upf
Li 6.94 Li.upf
ATOMIC_POSITIONS crystal
Cr 0.000 0.000 0.000
I 0.500 0.000 0.000
O 0.000 0.000 0.500
Li 0.500 0.500 0.500
I 0.000 0.500 0.000
CELL_PARAMETERS angstrom
5.794 0.000 0.000
0.000 5.794 0.000
0.000 0.000 3.739
```